# BC2, optimized geometry, DFT PBE
# Energy of formation, eV per atom: 0.329
# E, eV/cell: -193.11
# Polymorph energy (0 for the lowest one), meV/atom: 89
# Magnetic moment, μB per atom: 0.0000
data_BC2
_chemical_formula_sum 'B8 C16'
_cell_length_a 13.915
_cell_length_b 2.500
_cell_length_c 4.603
_cell_angle_alpha 90.00
_cell_angle_beta 107.19
_cell_angle_gamma 90.00
_space_group_name_H-M_alt 'C 1 2/m 1'
_space_group_IT_number 12
loop_
_space_group_symop_operation_xyz
'x,y,z'
'-x,-y,-z'
'-x,y,-z'
'x,-y,z'
'x+1/2,y+1/2,z'
'-x+1/2,-y+1/2,-z'
'-x+1/2,y+1/2,-z'
'x+1/2,-y+1/2,z'
loop_
_atom_site_label
_atom_site_type_symbol
_atom_site_fract_x
_atom_site_fract_y
_atom_site_fract_z
_atom_site_occupancy
B1 B 0.135 0.000 0.447 1
B2 B 0.199 0.500 0.717 1
C1 C 0.016 0.000 0.343 1
C2 C 0.023 0.500 0.853 1
C3 C 0.138 0.500 0.983 1
C4 C 0.182 0.000 0.154 1



# Al2CuSi, optimized geometry, DFT PBE
# E, eV/cell: -16.81
# Magnetic moment, μB per atom: 0.0000
data_Al2CuSi
_chemical_formula_sum 'Al2 Cu1 Si1'
_cell_length_a 2.937
_cell_length_b 3.880
_cell_length_c 5.351
_cell_angle_alpha 90.00
_cell_angle_beta 103.56
_cell_angle_gamma 90.00
_space_group_name_H-M_alt 'P 1 m 1'
_space_group_IT_number 6
loop_
_space_group_symop_operation_xyz
'x,y,z'
'x,-y,z'
loop_
_atom_site_label
_atom_site_type_symbol
_atom_site_fract_x
_atom_site_fract_y
_atom_site_fract_z
_atom_site_occupancy
Al1 Al 0.000 0.000 0.000 1
Al2 Al 0.360 0.500 0.678 1
Cu1 Cu 0.582 0.500 0.174 1
Si1 Si 0.764 0.000 0.480 1